A relaxed SbIrPt2 crystal. Source: the Alexandria database, functional PBE-GGA.

CIF file:
```
data_SbIrPt2
_chemical_formula_sum 'Sb2 Ir2 Pt4'
_cell_length_a 5.4508
_cell_length_b 5.4508
_cell_length_c 7.6393
_cell_angle_alpha 69.10
_cell_angle_beta 69.10
_cell_angle_gamma 90.00
_symmetry_space_group_name_H-M 'P 1'
_symmetry_Int_Tables_number 1
_symmetry_space_group_name_Hall 'P 1'
loop_
_atom_site_label
_atom_site_type_symbol
_atom_site_fract_x
_atom_site_fract_y
_atom_site_fract_z
Pt1 Pt 0.8750 0.9026 0.7500
Pt2 Pt 0.6526 0.1250 0.2500
Sb1 Sb 0.2500 0.7500 0.5000
Ir1 Ir 0.7500 0.2500 0.5000
Ir2 Ir 0.0000 0.0000 0.0000
Sb2 Sb 0.5000 0.5000 0.0000
Pt3 Pt 0.0974 0.6250 0.2500
Pt4 Pt 0.3750 0.3474 0.7500
```

Results
- E_tot: -5.796 eV/atom
- Total moment: 0.0 μB/f.u.
- Raw formation energy: 1.88 eV per formula unit

=====

A relaxed SbPBr2 crystal. Source: the Alexandria database, functional PBE-GGA.

CIF file:
```
data_SbPBr2
_chemical_formula_sum 'Sb1 P1 Br2'
_cell_length_a 10.1375
_cell_length_b 10.1375
_cell_length_c 10.1375
_cell_angle_alpha 19.58
_cell_angle_beta 19.58
_cell_angle_gamma 19.58
_symmetry_space_group_name_H-M 'P 1'
_symmetry_Int_Tables_number 1
_symmetry_space_group_name_Hall 'P 1'
loop_
_atom_site_label
_atom_site_type_symbol
_atom_site_fract_x
_atom_site_fract_y
_atom_site_fract_z
Br1 Br 0.9038 0.9038 0.9038
P1 P 0.5000 0.5000 0.5000
Sb1 Sb 0.0000 0.0000 0.0000
Br2 Br 0.0962 0.0962 0.0962
```

Results
- Excess energy over the best structure of this formula in the dataset: 663.0 meV/atom
- E_tot: -2.755 eV/atom
- Total moment: 0.0 μB/f.u.
- Raw formation energy: 1.86 eV per formula unit

=====

A relaxed Ce3SiGe6Pd2 crystal. Source: the Alexandria database, functional PBE-GGA.

CIF file:
```
data_Ce3SiGe6Pd2
_chemical_formula_sum 'Ce3 Si1 Ge6 Pd2'
_cell_length_a 5.9871
_cell_length_b 5.9871
_cell_length_c 8.0463
_cell_angle_alpha 90.00
_cell_angle_beta 90.00
_cell_angle_gamma 120.00
_symmetry_space_group_name_H-M 'P 1'
_symmetry_Int_Tables_number 1
_symmetry_space_group_name_Hall 'P 1'
loop_
_atom_site_label
_atom_site_type_symbol
_atom_site_fract_x
_atom_site_fract_y
_atom_site_fract_z
Ge1 Ge 0.1846 0.8154 0.2855
Ge2 Ge 0.8154 0.1846 0.7145
Ge3 Ge 0.1846 0.3692 0.2855
Ce1 Ce 0.6667 0.3333 0.3714
Ce2 Ce 0.3333 0.6667 0.6286
Ge4 Ge 0.6308 0.8154 0.2855
Ge5 Ge 0.3692 0.1846 0.7145
Pd1 Pd 0.6667 0.3333 0.9835
Si1 Si 0.0000 0.0000 0.5000
Ce3 Ce 0.0000 0.0000 0.0000
Ge6 Ge 0.8154 0.6308 0.7145
Pd2 Pd 0.3333 0.6667 0.0165
```

Results
- E_tot: -5.449 eV/atom
- Total moment: 1.6 μB/f.u.
- Raw formation energy: -4.08 eV per formula unit

=====

Q: The highest total moment belongs to which entry?
A: Ce3SiGe6Pd2

=====

Q: Look up the raw formation energy of the second one.
A: 1.86 eV per formula unit